*one*
Material: HfPdW3
Method: DFT, PBE
State: optimized geometry

```
5
Lattice="-0.861 2.812 -3.737 -4.656 -0.870 0.418 -0.437 3.735 2.911" Properties=species:S:1:pos:R:3 pbc="T T T"
Hf 0.000 0.000 0.000
Pd -2.977 2.838 -0.204
W -2.328 -0.435 0.209
W -0.218 1.867 1.456
W -0.431 1.406 -1.868
```

## Properties
**Spin magnetization**: 0.000 μB per atom
**Crystal system**: cubic
**Symmetry**: Pm-3m, No. 221

*two*
Material: HfPdW3
Method: DFT, PBE
State: optimized geometry

```
5
Lattice="-4.684 -0.477 -0.478 0.476 -4.708 0.030 -0.478 -0.019 4.708" Properties=species:S:1:pos:R:3 pbc="T T T"
Hf -2.343 -2.601 2.130
Pd 0.000 0.000 0.000
W 0.238 -2.354 0.015
W -0.239 -0.009 2.354
W -2.342 -0.238 -0.239
```

## Properties
**Spin magnetization**: 0.000 μB per atom
**Crystal system**: cubic
**Symmetry**: Pm-3m, No. 221

Best to worst by energy: *two*, *one*.

*one*
Material: HfPd2W
Method: DFT, PBE
State: optimized geometry

```
4
Lattice="0.000 3.242 3.242 3.242 0.000 3.242 3.242 3.242 0.000" Properties=species:S:1:pos:R:3 pbc="T T T"
Hf 0.000 0.000 0.000
Pd 1.621 1.621 1.621
Pd 4.863 4.863 4.863
W 3.242 3.242 3.242
```

## Properties
**Spin magnetization**: 0.000 μB per atom
**Crystal system**: cubic
**Symmetry**: Fm-3m, No. 225

*two*
Material: HfPd2W
Method: DFT, PBE
State: optimized geometry

```
8
Lattice="-2.420 1.756 2.615 1.707 -2.041 2.950 5.806 6.656 3.920" Properties=species:S:1:pos:R:3 pbc="T T T"
Hf -0.357 -0.142 2.782
Hf 3.578 2.236 4.826
Pd 0.135 2.519 3.002
Pd 2.233 0.595 3.132
Pd 4.075 4.900 5.006
Pd 3.743 4.728 7.831
W 0.000 0.000 0.000
W 1.515 4.135 4.659
```

## Properties
**Spin magnetization**: 0.000 μB per atom
**Crystal system**: tetragonal
**Symmetry**: I-42d, No. 122

Best to worst by energy: *one*, *two*.